Density functional theory data (PBE) for a geometry-optimized Zn2BOsC structure.

Calculated values
Space-group type: P4/mmm
Fermi-level density of states (states/eV/f.u.): 5.1
Total moment (μB per cell): 1.37
ΔH_f (0 K) (eV per atom): 1.962
Density (g/cm3): 6.1
Uncorrected energy (eV/cell): -19.9

The structure in POSCAR format:
```
Zn2BOsC
1.0
4.861 0.000 0.000
0.000 4.861 0.000
0.000 0.000 3.946
Zn B Os C
2 1 1 1
Direct
0.000 0.500 0.000 Zn
0.500 0.000 0.000 Zn
0.000 0.000 0.500 B
0.000 0.000 0.000 Os
0.500 0.500 0.500 C
```

=====

Density functional theory data (PBE) for a geometry-optimized BPC3 structure.

Calculated values
Space-group type: P1
Fermi-level density of states (states/eV/f.u.): 0.2
Total moment (μB per cell): 0.00
ΔH_f (0 K) (eV per atom): 0.594
Density (g/cm3): 2.5
Uncorrected energy (eV/cell): -36.8

The structure in POSCAR format:
```
BPC3
1.0
3.739 0.000 0.000
0.687 3.938 0.000
1.494 1.537 3.534
B P C
1 1 3
Direct
0.000 0.000 0.000 B
0.804 0.744 0.567 P
0.178 0.710 0.788 C
0.288 0.309 0.915 C
0.680 0.270 0.840 C
```

=====

Density functional theory data (PBE) for a geometry-optimized BPC3 structure.

Calculated values
Space-group type: Pm-3m
Fermi-level density of states (states/eV/f.u.): 1.9
Total moment (μB per cell): 0.00
ΔH_f (0 K) (eV per atom): 2.704
Density (g/cm3): 2.8
Uncorrected energy (eV/cell): -26.2

The structure in POSCAR format:
```
BPC3
1.0
3.582 0.000 0.000
0.000 3.582 0.000
0.000 0.000 3.582
B P C
1 1 3
Direct
0.000 0.000 0.000 B
0.500 0.500 0.500 P
0.000 0.500 0.500 C
0.500 0.000 0.500 C
0.500 0.500 0.000 C
```

=====

Density functional theory data (PBE) for a geometry-optimized BPC3 structure.

Calculated values
Space-group type: P1
Fermi-level density of states (states/eV/f.u.): 1.2
Total moment (μB per cell): 0.00
ΔH_f (0 K) (eV per atom): 0.678
Density (g/cm3): 2.9
Uncorrected energy (eV/cell): -36.4

The structure in POSCAR format:
```
BPC3
1.0
2.918 0.000 0.000
0.511 2.929 0.000
1.230 0.134 5.137
B P C
1 1 3
Direct
0.000 0.000 0.000 B
0.821 0.634 0.575 P
0.390 0.671 0.388 C
0.468 0.813 0.115 C
0.852 0.535 0.906 C
```

=====

Density functional theory data (PBE) for a geometry-optimized BPC3 structure.

Calculated values
Space-group type: Cm
Fermi-level density of states (states/eV/f.u.): 0.2
Total moment (μB per cell): 0.00
ΔH_f (0 K) (eV per atom): 0.404
Density (g/cm3): 1.7
Uncorrected energy (eV/cell): -37.7

The structure in POSCAR format:
```
BPC3
1.0
5.595 -1.267 0.000
5.595 1.267 0.000
-3.364 0.000 5.233
B P C
1 1 3
Direct
0.000 0.000 0.000 B
0.597 0.597 0.721 P
0.002 0.002 0.254 C
0.514 0.514 0.890 C
0.516 0.516 0.376 C
```

=====

Density functional theory data (PBE) for a geometry-optimized BPC3 structure.

Calculated values
Space-group type: Pm
Fermi-level density of states (states/eV/f.u.): 0.6
Total moment (μB per cell): 0.00
ΔH_f (0 K) (eV per atom): 0.411
Density (g/cm3): 1.8
Uncorrected energy (eV/cell): -37.7

The structure in POSCAR format:
```
BPC3
1.0
4.514 0.000 0.000
0.000 2.537 0.000
-0.083 0.000 6.215
B P C
1 1 3
Direct
0.000 0.000 0.000 B
0.202 0.500 0.627 P
0.003 0.000 0.252 C
0.031 0.500 0.876 C
0.033 0.500 0.360 C
```

=====

Density functional theory data (PBE) for a geometry-optimized BPC3 structure.

Calculated values
Space-group type: P1
Fermi-level density of states (states/eV/f.u.): 0.2
Total moment (μB per cell): 0.00
ΔH_f (0 K) (eV per atom): 0.548
Density (g/cm3): 2.5
Uncorrected energy (eV/cell): -37.0

The structure in POSCAR format:
```
BPC3
1.0
3.806 0.000 0.000
1.826 3.583 0.000
0.677 1.679 3.754
B P C
1 1 3
Direct
0.000 0.000 0.000 B
0.887 0.534 0.319 P
0.201 0.036 0.645 C
0.565 0.711 0.659 C
0.747 0.421 0.003 C
```

=====

Density functional theory data (PBE) for a geometry-optimized BP3C structure.

Calculated values
Space-group type: Pm-3m
Fermi-level density of states (states/eV/f.u.): 2.0
Total moment (μB per cell): 0.00
ΔH_f (0 K) (eV per atom): 1.779
Density (g/cm3): 3.1
Uncorrected energy (eV/cell): -23.2

The structure in POSCAR format:
```
BP3C
1.0
3.955 0.000 0.000
0.000 3.955 0.000
0.000 0.000 3.955
B P C
1 3 1
Direct
0.000 0.000 0.000 B
0.000 0.500 0.500 P
0.500 0.000 0.500 P
0.500 0.500 0.000 P
0.500 0.500 0.500 C
```

=====

Density functional theory data (PBE) for a geometry-optimized BPC3 structure.

Calculated values
Space-group type: Pmm2
Fermi-level density of states (states/eV/f.u.): 0.7
Total moment (μB per cell): 0.00
ΔH_f (0 K) (eV per atom): 0.385
Density (g/cm3): 3.1
Uncorrected energy (eV/cell): -37.8

The structure in POSCAR format:
```
BPC3
1.0
2.586 0.000 0.000
0.000 2.832 0.000
0.000 0.000 5.608
B P C
1 1 3
Direct
0.000 0.000 0.000 B
0.500 0.500 0.361 P
0.000 0.500 0.816 C
0.500 0.000 0.163 C
0.500 0.500 0.686 C
```

=====

Density functional theory data (PBE) for a geometry-optimized BPC3 structure.

Calculated values
Space-group type: Pm
Fermi-level density of states (states/eV/f.u.): 1.4
Total moment (μB per cell): 0.00
ΔH_f (0 K) (eV per atom): 0.431
Density (g/cm3): 2.4
Uncorrected energy (eV/cell): -37.6

The structure in POSCAR format:
```
BPC3
1.0
4.524 0.000 0.000
0.000 2.604 0.000
-0.674 0.000 4.618
B P C
1 1 3
Direct
0.000 0.000 0.000 B
0.110 0.000 0.583 P
0.356 0.000 0.954 C
0.521 0.500 0.995 C
0.831 0.500 0.017 C
```

=====

Density functional theory data (PBE) for a geometry-optimized BPC3 structure.

Calculated values
Space-group type: P1
Total moment (μB per cell): 0.00
ΔH_f (0 K) (eV per atom): 0.672
Density (g/cm3): 3.4
Uncorrected energy (eV/cell): -36.4

The structure in POSCAR format:
```
BPC3
1.0
2.897 0.000 0.000
-1.001 2.801 0.000
-0.887 -1.368 4.746
B P C
1 1 3
Direct
0.000 0.000 0.000 B
0.482 0.159 0.515 P
0.090 0.258 0.748 C
0.349 0.541 0.289 C
0.410 0.717 0.007 C
```

=====

Density functional theory data (PBE) for a geometry-optimized BPC2 structure.

Calculated values
Space-group type: I-42d
Fermi-level density of states (states/eV/f.u.): 0.0
Total moment (μB per cell): 0.00
ΔH_f (0 K) (eV per atom): -0.040
Density (g/cm3): 3.4
Uncorrected energy (eV/cell): -61.4

The structure in POSCAR format:
```
BPC2
1.0
-2.009 2.009 4.033
2.009 -2.009 4.033
2.009 2.009 -4.033
B P C
2 2 4
Direct
0.000 0.000 0.000 B
0.750 0.250 0.500 B
0.250 0.750 0.500 P
0.500 0.500 0.000 P
0.104 0.625 0.979 C
0.375 0.354 0.479 C
0.646 0.125 0.021 C
0.875 0.896 0.521 C
```

=====

Density functional theory data (PBE) for a geometry-optimized BPC3 structure.

Calculated values
Space-group type: Amm2
Fermi-level density of states (states/eV/f.u.): 0.5
Total moment (μB per cell): 0.00
ΔH_f (0 K) (eV per atom): 0.342
Density (g/cm3): 2.8
Uncorrected energy (eV/cell): -38.1

The structure in POSCAR format:
```
BPC3
1.0
2.561 0.000 0.000
0.000 1.490 6.020
0.000 -1.490 6.020
B P C
1 1 3
Direct
0.000 0.000 0.000 B
0.500 0.334 0.334 P
0.000 0.128 0.128 C
0.500 0.184 0.184 C
0.500 0.929 0.929 C
```

=====

Density functional theory data (PBE) for a geometry-optimized BPC3 structure.

Calculated values
Space-group type: P1
Fermi-level density of states (states/eV/f.u.): 1.0
Total moment (μB per cell): 0.00
ΔH_f (0 K) (eV per atom): 0.697
Density (g/cm3): 3.1
Uncorrected energy (eV/cell): -36.3

The structure in POSCAR format:
```
BPC3
1.0
2.674 0.000 0.000
0.483 2.710 0.000
0.222 0.353 5.674
B P C
1 1 3
Direct
0.000 0.000 0.000 B
0.448 0.449 0.608 P
0.057 0.030 0.722 C
0.467 0.464 0.296 C
0.973 0.483 0.157 C
```

=====

Density functional theory data (PBE) for a geometry-optimized BPC3 structure.

Calculated values
Space-group type: Fmm2
Fermi-level density of states (states/eV/f.u.): 1.2
Total moment (μB per cell): 0.00
ΔH_f (0 K) (eV per atom): 0.673
Density (g/cm3): 2.4
Uncorrected energy (eV/cell): -36.4

The structure in POSCAR format:
```
BPC3
1.0
0.000 4.482 4.585
1.289 0.000 4.585
1.289 4.482 0.000
B P C
1 1 3
Direct
0.000 0.000 0.000 B
0.227 0.227 0.773 P
0.429 0.429 0.571 C
0.434 0.999 0.001 C
0.999 0.434 0.566 C
```

=====

Density functional theory data (PBE) for a geometry-optimized BPC3 structure.

Calculated values
Space-group type: P1
Total moment (μB per cell): 0.00
ΔH_f (0 K) (eV per atom): 0.551
Density (g/cm3): 3.5
Uncorrected energy (eV/cell): -37.0

The structure in POSCAR format:
```
BPC3
1.0
2.719 0.000 0.000
-0.066 3.377 0.000
-0.031 -1.666 4.030
B P C
1 1 3
Direct
0.000 0.000 0.000 B
0.251 0.446 0.672 P
0.017 0.920 0.344 C
0.498 0.265 0.997 C
0.500 0.653 0.331 C
```

=====

Density functional theory data (PBE) for a geometry-optimized BPC2 structure.

Calculated values
Space-group type: Fm-3m
Fermi-level density of states (states/eV/f.u.): 1.4
Total moment (μB per cell): 0.00
ΔH_f (0 K) (eV per atom): 2.653
Density (g/cm3): 3.5
Uncorrected energy (eV/cell): -19.9

The structure in POSCAR format:
```
BPC2
1.0
0.000 2.497 2.497
2.497 0.000 2.497
2.497 2.497 0.000
B P C
1 1 2
Direct
0.000 0.000 0.000 B
0.500 0.500 0.500 P
0.250 0.250 0.250 C
0.750 0.750 0.750 C
```

=====

Density functional theory data (PBE) for a geometry-optimized BPC3 structure.

Calculated values
Space-group type: Pm-3m
Fermi-level density of states (states/eV/f.u.): 2.6
Total moment (μB per cell): 0.00
ΔH_f (0 K) (eV per atom): 2.517
Density (g/cm3): 3.1
Uncorrected energy (eV/cell): -27.2

The structure in POSCAR format:
```
BPC3
1.0
3.484 0.000 0.000
0.000 3.484 0.000
0.000 0.000 3.484
B P C
1 1 3
Direct
0.000 0.000 0.000 B
0.500 0.500 0.500 P
0.000 0.000 0.500 C
0.000 0.500 0.000 C
0.500 0.000 0.000 C
```

=====

Density functional theory data (PBE) for a geometry-optimized BPC3 structure.

Calculated values
Space-group type: Cm
Fermi-level density of states (states/eV/f.u.): 0.3
Total moment (μB per cell): 0.00
ΔH_f (0 K) (eV per atom): 0.349
Density (g/cm3): 2.0
Uncorrected energy (eV/cell): -38.0

The structure in POSCAR format:
```
BPC3
1.0
5.940 -1.267 0.000
5.940 1.267 0.000
-1.532 0.000 4.306
B P C
1 1 3
Direct
0.000 0.000 0.000 B
0.677 0.677 0.046 P
0.496 0.496 0.489 C
0.511 0.511 0.823 C
0.993 0.993 0.333 C
```

=====

Density functional theory data (PBE) for a geometry-optimized BPC3 structure.

Calculated values
Space-group type: Cm
Fermi-level density of states (states/eV/f.u.): 1.6
Total moment (μB per cell): 0.00
ΔH_f (0 K) (eV per atom): 0.421
Density (g/cm3): 2.5
Uncorrected energy (eV/cell): -37.7

The structure in POSCAR format:
```
BPC3
1.0
4.493 -1.288 0.000
4.493 1.288 0.000
-0.944 0.000 4.455
B P C
1 1 3
Direct
0.000 0.000 0.000 B
0.733 0.733 0.792 P
0.002 0.002 0.339 C
0.514 0.514 0.500 C
0.532 0.532 0.837 C
```

=====

Density functional theory data (PBE) for a geometry-optimized B2PPdC structure.

Calculated values
Space-group type: P4/mmm
Fermi-level density of states (states/eV/f.u.): 2.8
Total moment (μB per cell): 0.40
ΔH_f (0 K) (eV per atom): 1.184
Density (g/cm3): 3.8
Uncorrected energy (eV/cell): -27.3

The structure in POSCAR format:
```
B2PPdC
1.0
3.150 0.000 0.000
0.000 3.150 0.000
0.000 0.000 7.500
B P Pd C
2 1 1 1
Direct
0.000 0.500 0.000 B
0.500 0.000 0.000 B
0.000 0.000 0.500 P
0.500 0.500 0.500 Pd
0.000 0.000 0.000 C
```

=====

Density functional theory data (PBE) for a geometry-optimized B2PPtRhC structure.

Calculated values
Space-group type: P1
Fermi-level density of states (states/eV/f.u.): 0.9
Total moment (μB per cell): 0.00
ΔH_f (0 K) (eV per atom): -0.014
Density (g/cm3): 8.5
Uncorrected energy (eV/cell): -41.5

The structure in POSCAR format:
```
B2PPtRhC
1.0
2.841 0.000 0.000
0.919 4.851 0.000
0.940 1.773 5.125
B P Pt Rh C
2 1 1 1 1
Direct
0.000 0.000 0.000 B
0.410 0.477 0.791 B
0.415 0.817 0.471 P
0.775 0.138 0.576 Pt
0.583 0.670 0.116 Rh
0.922 0.338 0.892 C
```

=====

Density functional theory data (PBE) for a geometry-optimized B2PPtRhC structure.

Calculated values
Space-group type: P1
Fermi-level density of states (states/eV/f.u.): 2.6
Total moment (μB per cell): 0.00
ΔH_f (0 K) (eV per atom): 0.061
Density (g/cm3): 8.2
Uncorrected energy (eV/cell): -41.0

The structure in POSCAR format:
```
B2PPtRhC
1.0
2.811 0.000 0.000
1.314 3.952 0.000
0.575 0.160 6.586
B P Pt Rh C
2 1 1 1 1
Direct
0.000 0.000 0.000 B
0.219 0.552 0.074 B
0.100 0.984 0.537 P
0.840 0.547 0.393 Pt
0.646 0.761 0.801 Rh
0.805 0.366 0.067 C
```

=====

Density functional theory data (PBE) for a geometry-optimized B2PPtRhC structure.

Calculated values
Space-group type: Cm
Fermi-level density of states (states/eV/f.u.): 1.0
Total moment (μB per cell): 0.00
ΔH_f (0 K) (eV per atom): 0.107
Density (g/cm3): 8.5
Uncorrected energy (eV/cell): -40.7

The structure in POSCAR format:
```
B2PPtRhC
1.0
3.473 -1.393 0.000
3.473 1.393 0.000
-1.305 0.000 7.344
B P Pt Rh C
2 1 1 1 1
Direct
0.000 0.000 0.000 B
0.548 0.548 0.742 B
0.945 0.945 0.369 P
0.271 0.271 0.552 Pt
0.323 0.323 0.115 Rh
0.094 0.094 0.829 C
```

=====

Density functional theory data (PBE) for a geometry-optimized B2PPtRhC structure.

Calculated values
Space-group type: Pm
Fermi-level density of states (states/eV/f.u.): 0.9
Total moment (μB per cell): 0.00
ΔH_f (0 K) (eV per atom): 0.176
Density (g/cm3): 8.4
Uncorrected energy (eV/cell): -40.3

The structure in POSCAR format:
```
B2PPtRhC
1.0
4.295 0.000 0.000
0.000 3.201 0.000
-1.659 0.000 5.224
B P Pt Rh C
2 1 1 1 1
Direct
0.000 0.000 0.000 B
0.334 0.000 0.637 B
0.416 0.000 0.289 P
0.741 0.500 0.116 Pt
0.679 0.500 0.606 Rh
0.052 0.000 0.739 C
```

=====

Density functional theory data (PBE) for a geometry-optimized B2PPtRhC structure.

Calculated values
Space-group type: P1
Fermi-level density of states (states/eV/f.u.): 1.8
Total moment (μB per cell): 0.00
ΔH_f (0 K) (eV per atom): 0.059
Density (g/cm3): 8.4
Uncorrected energy (eV/cell): -41.0

The structure in POSCAR format:
```
B2PPtRhC
1.0
2.841 0.000 0.000
1.416 3.892 0.000
1.409 1.569 6.471
B P Pt Rh C
2 1 1 1 1
Direct
0.000 0.000 0.000 B
0.444 0.404 0.707 B
0.502 0.767 0.226 P
0.274 0.921 0.531 Pt
0.247 0.423 0.079 Rh
0.000 0.227 0.773 C
```